VASP calculation (GGA-PBE) on an optimized crystal structure of As2RuSe.

**DOS(E_F)**: 0.145 states/eV/atom
**ΔE_f (raw)**: 0.0584 eV/atom

Lattice parameters (Å, degrees): 3.4966 3.4966 23.1815 90.00 90.00 120.00
Closest atoms and distances in Å follow each position.
Positions (direct):
As (0.0000, 0.0000, 0.0000)  3 As 2.50
As (0.0000, 0.0000, 0.2695)  3 As 2.50
As (0.3333, 0.6667, 0.6667)  3 As 2.50
As (0.3333, 0.6667, 0.9362)  3 As 2.50
As (0.6667, 0.3333, 0.3333)  3 As 2.50
As (0.6667, 0.3333, 0.6028)  3 As 2.50
Ru (0.0000, 0.0000, 0.7555)  3 Se 2.40
Ru (0.3333, 0.6667, 0.4222)  3 Se 2.40
Ru (0.6667, 0.3333, 0.0889)  3 Se 2.40
Se (0.0000, 0.0000, 0.4785)  3 Ru 2.40
Se (0.3333, 0.6667, 0.1452)  3 Ru 2.40
Se (0.6667, 0.3333, 0.8118)  3 Ru 2.40

---

VASP calculation (GGA-PBE) on an optimized crystal structure of Nd4Ge6O19.

**DOS(E_F)**: 0.700 states/eV/atom
**ΔE_f (raw)**: -2.1812 eV/atom

Lattice parameters (Å, degrees): 7.6305 7.6305 7.6305 109.47 109.47 109.47
Closest atoms and distances in Å follow each position.
Positions (direct):
Nd (0.0000, 0.0000, 0.3223)  10 O 2.46-2.67
Nd (0.0000, 0.3223, 0.0000)  10 O 2.46-2.67
Nd (0.3223, 0.0000, 0.0000)  10 O 2.46-2.67
Nd (0.6777, 0.6777, 0.6777)  10 O 2.46-2.67
Ge (0.1627, 0.5000, 0.6627)  6 O 1.89-1.94
Ge (0.3373, 0.8373, 0.5000)  6 O 1.89-1.94
Ge (0.5000, 0.3373, 0.8373)  6 O 1.89-1.94
Ge (0.5000, 0.6627, 0.1627)  6 O 1.89-1.94
Ge (0.6627, 0.1627, 0.5000)  6 O 1.89-1.94
Ge (0.8373, 0.5000, 0.3373)  6 O 1.89-1.94
O (0.0000, 0.0000, 0.0000)  4 Nd 2.46
O (0.0000, 0.3511, 0.3511)  2 Ge 1.94
O (0.0000, 0.6489, 0.6489)  2 Ge 1.94
O (0.0417, 0.6713, 0.2908)  2 Ge 1.89
O (0.2491, 0.6296, 0.9583)  2 Ge 1.89
O (0.2908, 0.0417, 0.6713)  2 Ge 1.89
O (0.3287, 0.3704, 0.6195)  2 Ge 1.89
O (0.3511, 0.0000, 0.3511)  2 Ge 1.94
O (0.3511, 0.3511, 0.0000)  2 Ge 1.94
O (0.3704, 0.6195, 0.3287)  2 Ge 1.89
O (0.3805, 0.7509, 0.7092)  2 Ge 1.89
O (0.6195, 0.3287, 0.3704)  2 Ge 1.89
O (0.6296, 0.9583, 0.2491)  2 Ge 1.89
O (0.6489, 0.0000, 0.6489)  2 Ge 1.94
O (0.6489, 0.6489, 0.0000)  2 Ge 1.94
O (0.6713, 0.2908, 0.0417)  2 Ge 1.89
O (0.7092, 0.3805, 0.7509)  2 Ge 1.89
O (0.7509, 0.7092, 0.3805)  2 Ge 1.89
O (0.9583, 0.2491, 0.6296)  2 Ge 1.89

---

VASP calculation (GGA-PBE) on an optimized crystal structure of NpGaTeO6.

**DOS(E_F)**: 0.777 states/eV/atom
**ΔE_f (raw)**: -1.8056 eV/atom

Lattice parameters (Å, degrees): 5.3712 5.3712 9.4514 90.00 90.00 120.00
Closest atoms and distances in Å follow each position.
Positions (direct):
Np (0.3333, 0.6667, 0.2500)  6 O 2.15
Np (0.6667, 0.3333, 0.7500)  6 O 2.15
Ga (0.3333, 0.6667, 0.7500)  6 O 2.04
Ga (0.6667, 0.3333, 0.2500)  6 O 2.04
Te (0.0000, 0.0000, 0.0000)  6 O 2.22
Te (0.0000, 0.0000, 0.5000)  6 O 2.22
O (0.0162, 0.3494, 0.6316)  1 Ga 2.04, 1 Np 2.15, 1 Te 2.22
O (0.0162, 0.6668, 0.8684)  1 Ga 2.04, 1 Np 2.15, 1 Te 2.22
O (0.3332, 0.3494, 0.8684)  1 Ga 2.04, 1 Np 2.15, 1 Te 2.22
O (0.3332, 0.9838, 0.6316)  1 Ga 2.04, 1 Np 2.15, 1 Te 2.22
O (0.3494, 0.0162, 0.1316)  1 Ga 2.04, 1 Np 2.15, 1 Te 2.22
O (0.3494, 0.3332, 0.3684)  1 Ga 2.04, 1 Np 2.15, 1 Te 2.22
O (0.6506, 0.6668, 0.6316)  1 Ga 2.04, 1 Np 2.15, 1 Te 2.22
O (0.6506, 0.9838, 0.8684)  1 Ga 2.04, 1 Np 2.15, 1 Te 2.22
O (0.6668, 0.0162, 0.3684)  1 Ga 2.04, 1 Np 2.15, 1 Te 2.22
O (0.6668, 0.6506, 0.1316)  1 Ga 2.04, 1 Np 2.15, 1 Te 2.22
O (0.9838, 0.3332, 0.1316)  1 Ga 2.04, 1 Np 2.15, 1 Te 2.22
O (0.9838, 0.6506, 0.3684)  1 Ga 2.04, 1 Np 2.15, 1 Te 2.22

---

VASP calculation (GGA-PBE) on an optimized crystal structure of MnCdOs2.

**DOS(E_F)**: 0.655 states/eV/atom
**Energy**: -7.762 eV per atom

Lattice parameters (Å, degrees): 2.7481 2.7481 27.2354 90.00 90.00 120.00
Closest atoms and distances in Å follow each position.
Positions (direct):
Mn (0.0000, 0.0000, 0.0000)  3 Os 2.54, 6 Mn 2.75
Mn (0.3333, 0.6667, 0.6667)  3 Os 2.54, 6 Mn 2.75
Mn (0.6667, 0.3333, 0.3333)  3 Os 2.54, 6 Mn 2.75
Cd (0.0000, 0.0000, 0.2457)  6 Cd 2.75, 3 Mn 2.87, 3 Os 2.99
Cd (0.3333, 0.6667, 0.9124)  6 Cd 2.75, 3 Mn 2.87, 3 Os 2.99
Cd (0.6667, 0.3333, 0.5791)  6 Cd 2.75, 3 Mn 2.87, 3 Os 2.99
Os (0.0000, 0.0000, 0.4860)  9 Os 2.69-2.75, 3 Cd 2.99
Os (0.0000, 0.0000, 0.7394)  3 Mn 2.54, 9 Os 2.69-2.75
Os (0.3333, 0.6667, 0.1527)  9 Os 2.69-2.75, 3 Cd 2.99
Os (0.3333, 0.6667, 0.4061)  3 Mn 2.54, 9 Os 2.69-2.75
Os (0.6667, 0.3333, 0.0728)  3 Mn 2.54, 9 Os 2.69-2.75
Os (0.6667, 0.3333, 0.8193)  9 Os 2.69-2.75, 3 Cd 2.99